VASP calculation (PBE) on crystalline Tm2Ga4Co3 at its relaxed geometry.

Cell: 5.195 5.195 6.748 Å, 101.14 101.14 119.86°
Element x y z (fractional)
1 Tm 0.624 0.624 0.248
2 Tm 0.376 0.376 0.752
3 Ga 0.014 0.674 0.688
4 Ga 0.674 0.014 0.688
5 Ga 0.986 0.326 0.312
6 Ga 0.326 0.986 0.312
7 Co 0.500 0.000 0.000
8 Co 0.000 0.000 0.000
9 Co 0.000 0.500 0.000

Calculated values
Calculated formation energy (eV/atom): -0.4271
SG: No. 69